Entry 1:
This record from OQMD describes a relaxed structure of KHoFeTe3. The functional is PBE.

The value obtained for the volume is 33.99 Å³ per atom. The crystal system is monoclinic. The distance to the lowest polymorph of the same formula comes out at 3 kJ/mol of formula units.

It has space group P2_1/m (No. 11), with a = 9.262 Å, b = 4.271 Å, c = 11.002 Å, α = 90.00°, β = 110.40° and γ = 90.00°. Symmetry generates all atoms from K at (0.245, 0.250, 0.287), Ho at (0.323, 0.750, 0.855), Fe at (0.065, 0.250, 0.580), Te at (0.077, 0.250, 0.824), Te at (0.234, 0.750, 0.552) and Te at (0.441, 0.750, 0.149).

Entry 2:
This record from OQMD describes a relaxed structure of KHoFeTe3. The functional is PBE.

The value obtained for the volume is 33.80 Å³ per atom. The crystal system is orthorhombic. The distance to the lowest polymorph of the same formula comes out at 0 kJ/mol of formula units.

It has space group Pnma (No. 62), with a = 16.390 Å, b = 4.262 Å, c = 11.614 Å, α = 90.00°, β = 90.00° and γ = 90.00°. Symmetry generates all atoms from K at (0.233, 0.250, 0.029), Ho at (0.018, 0.250, 0.343), Fe at (0.009, 0.750, 0.075), Te at (0.089, 0.750, 0.880), Te at (0.103, 0.250, 0.575) and Te at (0.127, 0.750, 0.233).

Entry 3:
This record from OQMD describes a relaxed structure of LiHoFeS3. The functional is PBE.

The value obtained for the volume is 19.90 Å³ per atom. The crystal system is orthorhombic. The distance to the lowest polymorph of the same formula comes out at 42 kJ/mol of formula units.

It has space group Cmcm (No. 63), with a = 3.808 Å, b = 12.026 Å, c = 10.428 Å, α = 90.00°, β = 90.00° and γ = 90.00°. Symmetry generates all atoms from Li at (0.000, 0.239, 0.250), Ho at (0.000, 0.000, 0.000), Fe at (0.000, 0.475, 0.750), S at (0.000, 0.087, 0.750) and S at (0.000, 0.357, 0.581).

Entry 4:
This record from OQMD describes a relaxed structure of LiHoFeS3. The functional is PBE.

The value obtained for the volume is 21.59 Å³ per atom. The crystal system is orthorhombic. The distance to the lowest polymorph of the same formula comes out at 6 kJ/mol of formula units.

It has space group Pnma (No. 62), with a = 12.971 Å, b = 3.758 Å, c = 10.628 Å, α = 90.00°, β = 90.00° and γ = 90.00°. Symmetry generates all atoms from Li at (0.221, 0.250, 0.184), Ho at (0.032, 0.750, 0.846), Fe at (0.021, 0.250, 0.583), S at (0.083, 0.250, 0.379), S at (0.106, 0.750, 0.081) and S at (0.150, 0.250, 0.733).

Entry 5:
This record from OQMD describes a relaxed structure of LiHoFeS3. The functional is PBE.

The value obtained for the volume is 21.49 Å³ per atom. The crystal system is monoclinic. The distance to the lowest polymorph of the same formula comes out at 0 kJ/mol of formula units.

It has space group P2_1/m (No. 11), with a = 7.429 Å, b = 3.780 Å, c = 9.375 Å, α = 90.00°, β = 101.65° and γ = 90.00°. Symmetry generates all atoms from Li at (0.163, 0.250, 0.124), Ho at (0.339, 0.750, 0.842), Fe at (0.065, 0.250, 0.592), S at (0.072, 0.250, 0.841), S at (0.230, 0.750, 0.543) and S at (0.401, 0.750, 0.140).

Entry 6:
This record from OQMD describes a relaxed structure of Ho3Lu3FeSb2. The functional is PBE.

The value obtained for the volume is 25.63 Å³ per atom. The crystal system is hexagonal. The distance to the lowest polymorph of the same formula comes out at 0 kJ/mol of formula units.

It has space group P-62m (No. 189), with a = 8.0560 Å, b = 8.0560 Å, c = 4.1035 Å, α = 90.00°, β = 90.00° and γ = 120.00°. Symmetry generates all atoms from Ho at (0.0000, 0.3933, 0.0000), Lu at (0.0000, 0.7690, 0.5000), Fe at (0.0000, 0.0000, 0.0000) and Sb at (0.3333, 0.6667, 0.5000).

Entry 7:
This record from OQMD describes a relaxed structure of Ho3Lu3FeSb2. The functional is PBE.

The value obtained for the volume is 25.78 Å³ per atom. The crystal system is hexagonal. The distance to the lowest polymorph of the same formula comes out at 59 kJ/mol of formula units.

It has space group P-62m (No. 189), with a = 8.0952 Å, b = 8.0952 Å, c = 4.0880 Å, α = 90.00°, β = 90.00° and γ = 120.00°. Symmetry generates all atoms from Ho at (0.0000, 0.7648, 0.0000), Lu at (0.0000, 0.3919, 0.5000), Fe at (0.0000, 0.0000, 0.5000) and Sb at (0.3333, 0.6667, 0.0000).

Entry 8:
This record from OQMD describes a relaxed structure of HoLuFeSi2. The functional is PBE.

The value obtained for the volume is 18.14 Å³ per atom. The crystal system is monoclinic. The total energy comes out at -6.38 eV/atom.

It has space group C2/m (No. 12), with a = 10.286 Å, b = 4.102 Å, c = 9.809 Å, α = 90.00°, β = 118.79° and γ = 90.00°. Symmetry generates all atoms from Ho at (0.189, 0.000, 0.109), Lu at (0.000, 0.000, 0.329), Fe at (0.230, 0.500, 0.376), Si at (0.002, 0.500, 0.873) and Si at (0.150, 0.500, 0.562).